4
Lattice="4.373 2.525 0.979 -4.373 2.525 0.979 0.000 -5.049 0.979" Properties=species:S:1:pos:R:3 comment="PBE Tc3Sb, optimized geometry" formation_energy_uncorrected_ev_per_atom=0.45 magnetic_moment_mub_per_cell=0.0 pbc="T T T"
Tc -2.186 -1.262 0.979
Tc -2.186 1.262 1.959
Tc 0.000 2.525 0.979
Sb 0.000 0.000 0.000